{"formula": "NpZnGe", "functional": "PBE", "state": "relaxed", "lattice_angstrom": [[-2.6794, -2.1844, 2.9560], [-4.4988, 0.6647, -0.0873], [-2.7605, -3.3116, -1.4499]], "species": ["Ge", "Np", "Zn"], "frac_coords": [[0.0000, 0.0000, 0.0000], [0.2500, 0.2500, 0.2500], [0.7500, 0.7500, 0.7500]], "sg": "No. 216", "vol_a3_per_cell": 66.5}

---

{"formula": "GeOs2O4", "functional": "PBE", "state": "relaxed", "lattice_angstrom": [[-3.3822, 4.0926, 3.3781], [2.9700, 1.9174, -5.2061], [-5.0124, -3.7780, -0.4507]], "species": ["Os", "Ge", "Os", "O", "O", "Os", "O", "O", "O", "O", "O", "O", "Ge", "Os"], "frac_coords": [[0.3750, 0.7500, 0.1250], [0.7500, 0.5000, 0.2500], [0.3750, 0.2500, 0.6250], [0.1715, 0.7810, 0.3905], [0.1405, 0.2810, 0.8595], [0.3750, 0.7500, 0.6250], [0.1405, 0.2810, 0.4215], [0.6095, 0.2190, 0.3905], [0.5785, 0.7190, 0.8595], [0.1405, 0.7190, 0.8595], [0.6095, 0.2190, 0.8285], [0.6095, 0.7810, 0.3905], [0.0000, 0.0000, 0.0000], [0.8750, 0.2500, 0.6250]], "sg": "No. 227", "vol_a3_per_cell": 176.3}

---

{"formula": "Ge2Os2O5", "functional": "PBE", "state": "relaxed", "lattice_angstrom": [[6.0372, 0.0000, 0.0000], [0.0000, 4.0118, 0.0000], [0.0000, 0.0000, 4.0118]], "species": ["Os", "Os", "Ge", "O", "O", "O", "Ge", "O", "O"], "frac_coords": [[0.0000, 0.0000, 0.0000], [0.5000, 0.0000, 0.0000], [0.2013, 0.5000, 0.5000], [0.2066, 0.5000, 0.0000], [0.7934, 0.0000, 0.5000], [0.2066, 0.0000, 0.5000], [0.7987, 0.5000, 0.5000], [0.5000, 0.5000, 0.5000], [0.7934, 0.5000, 0.0000]], "sg": "No. 123", "relative_energy_ev_per_atom": 0.564, "vol_a3_per_cell": 97.2}

---

| no. | total energy (eV per atom) |
| --- | --- |
| 1 | -6.093 |
| 2 | -7.045 |
| 3 | -6.098 |